Entry 1:
A plane-wave DFT calculation with PBE was carried out for an optimized crystal structure of SrLi4Pd.

Geometry as extended XYZ:
```
12
Lattice="5.5398 0.0000 -0.4293 0.0000 6.8095 0.0000 -2.0942 -3.4048 8.0005" Properties=species:S:1:pos:R:3 pbc="T T T"
Pd 4.1110 3.4048 -0.3022
Li 0.5682 1.8295 6.4119
Sr 3.1622 3.4048 4.1763
Li 3.2453 0.0000 5.4559
Pd -0.6654 0.0000 7.8734
Li 2.8774 5.2342 1.1594
Li 2.8774 1.5753 1.1594
Li 0.0000 5.4642 0.0000
Li 0.2003 3.4048 2.1154
Sr 0.2835 0.0000 3.3949
Li 0.5682 -1.8295 6.4119
Li 0.0000 1.3453 0.0000
```

## Properties
* crystal system: monoclinic

---

Entry 2:
A plane-wave DFT calculation with PBE was carried out for an optimized crystal structure of Sr4Li2Pd.

Geometry as extended XYZ:
```
7
Lattice="0.5478 3.0510 -3.3034 -4.4893 -3.6482 -4.1139 -5.4350 4.0668 5.9608" Properties=species:S:1:pos:R:3 pbc="T T T"
Sr -7.6919 2.1759 0.7341
Sr -5.2630 -1.4126 -2.1774
Li -4.0510 1.2682 0.4995
Sr -1.6847 1.2936 -2.1906
Pd 0.0000 0.0000 0.0000
Li -5.3256 2.2014 -1.9560
Sr -4.1135 4.8821 0.7209
```

## Properties
* crystal system: monoclinic

---

Entry 3:
A plane-wave DFT calculation with PBE was carried out for an optimized crystal structure of Sr3Li2Pd4.

Geometry as extended XYZ:
```
9
Lattice="4.4312 0.0000 0.0000 -2.2156 5.3102 -1.2618 0.0000 0.4800 8.9617" Properties=species:S:1:pos:R:3 pbc="T T T"
Li 0.0000 3.4966 1.0956
Sr 2.2156 1.4692 3.0966
Pd 0.0000 3.2594 7.4776
Li 2.2156 2.2936 6.6043
Sr 0.0000 0.0000 0.0000
Pd 2.2156 2.5308 0.2224
Pd 2.2156 4.5356 2.2378
Sr 0.0000 4.3210 4.6034
Pd 0.0000 1.2546 5.4622
```

## Properties
* crystal system: monoclinic

---

Entry 4:
A plane-wave DFT calculation with PBE was carried out for an optimized crystal structure of Sr3Li9Pd2.

Geometry as extended XYZ:
```
14
Lattice="4.5239 0.0000 1.1544 1.7784 8.4305 2.4724 0.1222 -0.0283 8.9628" Properties=species:S:1:pos:R:3 pbc="T T T"
Li 4.8342 3.1954 9.3802
Pd 3.5705 6.0307 4.8909
Pd 2.8540 2.3715 7.6987
Sr 2.7732 5.6074 8.0155
Li 0.9503 4.2011 5.7176
Li 4.8786 8.3123 9.2061
Li 1.5459 0.0899 3.3836
Sr 3.6513 2.7948 4.5741
Li 4.3483 5.6036 11.2845
Sr 0.0000 0.0000 0.0000
Li 1.5903 5.2068 3.2094
Li 2.0762 2.7986 1.3051
Li 0.8549 1.4510 6.0913
Li 5.5696 6.9512 6.4983
```

## Properties
* crystal system: orthorhombic

---

Entry 5:
A plane-wave DFT calculation with PBE was carried out for an optimized crystal structure of SrLi3Pd2.

Geometry as extended XYZ:
```
12
Lattice="4.2695 0.0000 0.0000 -2.1347 7.6570 -0.0198 0.0000 -3.4685 7.2963" Properties=species:S:1:pos:R:3 pbc="T T T"
Pd 2.1347 -0.2151 1.3181
Li 0.0000 5.1183 2.4119
Pd 2.1347 3.6373 2.2002
Sr 2.1347 2.1569 6.8791
Li 2.1347 1.2839 3.4110
Li 0.0000 2.9046 3.8656
Li 0.0000 -0.6100 2.7478
Pd 0.0000 4.4036 5.9584
Li 2.1347 4.7986 4.5288
Li 2.1347 -0.9298 4.8647
Pd 0.0000 0.5512 5.0764
Sr 0.0000 2.0316 0.3975
```

## Properties
* crystal system: monoclinic

---

Entry 6:
A plane-wave DFT calculation with PBE was carried out for an optimized crystal structure of Sr2LiPd.

Geometry as extended XYZ:
```
4
Lattice="-0.2705 -2.5845 -3.5220 3.0325 -3.0791 -0.6932 -3.8640 -7.6318 3.1774" Properties=species:S:1:pos:R:3 pbc="T T T"
Pd 1.8222 -3.7986 -2.7918
Li -0.5213 -6.6120 -0.5474
Sr -0.0070 -3.0014 -0.5167
Sr -2.9470 -6.5310 2.2991
```

## Properties
* crystal system: trigonal

---

One value per record, in order, for formation enthalpy at 0 K: -14; -17; -50; -15; -37; -22 kJ/mol of atoms.
One value per record, in order, for final energy: -2.57; -2.43; -3.82; -2.49; -3.35; -2.85 eV/atom.